[1]
PuAl9Pd2 | GGA-PBE | relaxed

Summary:
E_form	-4.92	eV/f.u.
uncorrected energy	-5.28	eV/atom

Cell lengths 10.709, 10.709, 7.102 Å; angles 90.00, 90.00, 90.00 degrees
Space group I4_1/amd (No. 141, origin choice 2)
Unique sites:
Pu 0.000 0.250 0.375 x4
Al 0.000 0.250 0.875 x4
Al 0.121 0.049 0.678 x32
Pd 0.000 0.000 0.000 x8

=====

[2]
Pu3Al7Pd2 | GGA-PBE | relaxed

Summary:
E_form	-6.09	eV/f.u.
uncorrected energy	-7.14	eV/atom

Cell lengths 5.4958, 5.4958, 26.0724 Å; angles 90.00, 90.00, 120.00 degrees
Space group R-3m (No. 166, hexagonal axes)
Unique sites:
Pu 0.0000 0.0000 0.0000 x3
Pu 0.0000 0.0000 0.1462 x6
Al 0.0000 0.0000 0.5000 x3
Al 0.0059 0.5030 0.9205 x18
Pd 0.0000 0.0000 0.3356 x6

=====

[3]
Pu2AlPd2 | GGA-PBE | relaxed

Summary:
E_form	-1.17	eV/f.u.
uncorrected energy	-8.79	eV/atom

Cell lengths 10.623, 5.573, 6.294 Å; angles 90.00, 100.44, 90.00 degrees
Space group C2/c (No. 15)
Unique sites:
Pu 0.075 0.082 0.139 x8
Al 0.000 0.410 0.750 x4
Pd 0.182 0.452 0.530 x8

=====

[4]
PuAlPd2 | GGA-PBE | relaxed

Summary:
E_form	-2.39	eV/f.u.
uncorrected energy	-7.71	eV/atom

Cell lengths 4.337, 6.692, 5.462 Å; angles 90.00, 90.00, 90.00 degrees
Space group Pmmn (No. 59, origin choice 2)
Unique sites:
Pu 0.250 0.250 0.161 x2
Al 0.250 0.750 0.340 x2
Pd 0.250 0.040 0.664 x4

=====

[5]
PuAl2Pd9 | GGA-PBE | relaxed

Summary:
E_form	-6.91	eV/f.u.
uncorrected energy	-6.29	eV/atom

Cell lengths 4.017, 4.017, 11.822 Å; angles 90.00, 90.00, 90.00 degrees
Space group P4/mmm (No. 123)
Unique sites:
Pu 0.000 0.000 0.000 x1
Al 0.000 0.000 0.345 x2
Pd 0.000 0.500 0.181 x4
Pd 0.000 0.500 0.500 x2
Pd 0.500 0.500 0.000 x1
Pd 0.500 0.500 0.340 x2

=====

[6]
Pu2Al3Pd4 | GGA-PBE | relaxed

Summary:
E_form	-6.09	eV/f.u.
uncorrected energy	-7.42	eV/atom

Cell lengths 5.664, 15.589, 7.481 Å; angles 90.00, 90.00, 90.00 degrees
Space group Cmce (No. 64)
Unique sites:
Pu 0.000 0.101 0.096 x8
Al 0.000 0.000 0.500 x4
Al 0.250 0.233 0.750 x8
Pd 0.000 0.180 0.482 x8
Pd 0.250 0.067 0.750 x8

=====

[7]
PuAl3Pd10 | GGA-PBE | relaxed

Summary:
E_form	-7.67	eV/f.u.
uncorrected energy	-6.08	eV/atom

Cell lengths 12.402, 12.402, 12.402 Å; angles 90.00, 90.00, 90.00 degrees
Space group Fm-3m (No. 225)
Unique sites:
Pu 0.250 0.250 0.250 x8
Al 0.000 0.000 0.230 x24
Pd 0.000 0.172 0.328 x48
Pd 0.119 0.119 0.119 x32

=====

[8]
PuAl3Pd | GGA-PBE | relaxed

Summary:
E_form	-1.97	eV/f.u.
uncorrected energy	-6.55	eV/atom

Cell lengths 8.454, 3.449, 11.865 Å; angles 90.00, 90.00, 90.00 degrees
Space group Pnma (No. 62)
Unique sites:
Pu 0.092 0.250 0.003 x4
Al 0.086 0.250 0.421 x4
Al 0.101 0.750 0.222 x4
Al 0.150 0.750 0.792 x4
Pd 0.128 0.250 0.633 x4

=====

[9]
Pu3AlPd12 | GGA-PBE | relaxed

Summary:
E_form	-8.94	eV/f.u.
uncorrected energy	-7.37	eV/atom

Cell lengths 4.108, 4.108, 16.253 Å; angles 90.00, 90.00, 90.00 degrees
Space group P4/mmm (No. 123)
Unique sites:
Pu 0.000 0.000 0.000 x1
Pu 0.000 0.000 0.260 x2
Al 0.000 0.000 0.500 x1
Pd 0.000 0.500 0.129 x4
Pd 0.000 0.500 0.388 x4
Pd 0.500 0.500 0.000 x1
Pd 0.500 0.500 0.259 x2
Pd 0.500 0.500 0.500 x1

=====

[10]
PuAl8Pd4 | GGA-PBE | relaxed

Summary:
E_form	-8.46	eV/f.u.
uncorrected energy	-5.65	eV/atom

Cell lengths 8.891, 8.891, 5.400 Å; angles 90.00, 90.00, 90.00 degrees
Space group I4/mmm (No. 139)
Unique sites:
Pu 0.000 0.000 0.000 x2
Al 0.000 0.220 0.500 x8
Al 0.000 0.348 0.000 x8
Pd 0.250 0.250 0.250 x8

=====

[11]
Pu3Al2Pd6 | GGA-PBE | relaxed

Summary:
E_form	-6.71	eV/f.u.
uncorrected energy	-8.03	eV/atom

Cell lengths 9.465, 9.465, 9.465 Å; angles 90.00, 90.00, 90.00 degrees
Space group Im-3m (No. 229)
Unique sites:
Pu 0.000 0.000 0.279 x12
Al 0.250 0.250 0.250 x8
Pd 0.000 0.333 0.333 x24

=====

[12]
PuAl5Pd4 | GGA-PBE | relaxed

Summary:
E_form	-7.46	eV/f.u.
uncorrected energy	-6.13	eV/atom

Cell lengths 3.102, 3.102, 16.567 Å; angles 90.00, 90.00, 90.00 degrees
Space group P4/mmm (No. 123)
Unique sites:
Pu 0.000 0.000 0.000 x1
Al 0.500 0.500 0.137 x2
Al 0.500 0.500 0.318 x2
Al 0.500 0.500 0.500 x1
Pd 0.000 0.000 0.226 x2
Pd 0.000 0.000 0.409 x2

=====

[13]
Pu3Al9Pd2 | GGA-PBE | relaxed

Summary:
E_form	-6.19	eV/f.u.
uncorrected energy	-6.66	eV/atom

Cell lengths 4.399, 9.623, 12.454 Å; angles 90.00, 90.00, 90.00 degrees
Space group Immm (No. 71)
Unique sites:
Pu 0.000 0.000 0.000 x2
Pu 0.000 0.000 0.289 x4
Al 0.000 0.284 0.136 x8
Al 0.000 0.363 0.350 x8
Al 0.000 0.500 0.000 x2
Pd 0.000 0.179 0.500 x4

=====

[14]
PuAlPdRu | GGA-PBE | relaxed

Summary:
E_form	-1.57	eV/f.u.
uncorrected energy	-8.53	eV/atom

Cell lengths 6.541, 6.541, 6.541 Å; angles 90.00, 90.00, 90.00 degrees
Space group F-43m (No. 216)
Unique sites:
Pu 0.000 0.000 0.000 x4
Al 0.000 0.000 0.500 x4
Pd 0.250 0.250 0.250 x4
Ru 0.250 0.250 0.750 x4

=====

[15]
PuScAlPd | GGA-PBE | relaxed

Summary:
E_form	-1.11	eV/f.u.
uncorrected energy	-7.68	eV/atom

Cell lengths 6.794, 6.794, 6.794 Å; angles 90.00, 90.00, 90.00 degrees
Space group F-43m (No. 216)
Unique sites:
Pu 0.000 0.000 0.000 x4
Sc 0.250 0.250 0.750 x4
Al 0.250 0.250 0.250 x4
Pd 0.000 0.000 0.500 x4

=====

[16]
PuSc2AlPd4 | GGA-PBE | relaxed

Summary:
E_form	-5.79	eV/f.u.
uncorrected energy	-7.16	eV/atom

Cell lengths 4.6205, 4.6205, 23.9937 Å; angles 90.00, 90.00, 120.00 degrees
Space group R-3m (No. 166, hexagonal axes)
Unique sites:
Pu 0.0000 0.0000 0.0000 x3
Sc 0.0000 0.0000 0.2435 x6
Al 0.0000 0.0000 0.5000 x3
Pd 0.0000 0.0000 0.1303 x6
Pd 0.0000 0.0000 0.3934 x6

=====

[17]
PuAlSi2Pd | GGA-PBE | relaxed

Summary:
uncorrected energy	-7.44	eV/atom
E_form (uncorrected)	-0.62	eV per atom

Cell lengths 3.993, 3.993, 10.793 Å; angles 90.00, 90.00, 90.00 degrees
Space group I-4m2 (No. 119)
Unique sites:
Pu 0.000 0.000 0.000 x2
Al 0.000 0.500 0.250 x2
Si 0.000 0.000 0.392 x4
Pd 0.000 0.500 0.750 x2

=====

[18]
PuAlSiPd | GGA-PBE | relaxed

Summary:
uncorrected energy	-7.62	eV/atom
E_form (uncorrected)	-0.45	eV per atom

Cell lengths 4.2783, 4.2783, 14.4971 Å; angles 90.00, 90.00, 120.00 degrees
Space group R3m (No. 160, hexagonal axes)
Unique sites:
Pu 0.0000 0.0000 0.0000 x3
Al 0.0000 0.0000 0.5030 x3
Si 0.0000 0.0000 0.7800 x3
Pd 0.0000 0.0000 0.2064 x3

=====

[19]
Pu2Al4SiPd3 | GGA-PBE | relaxed

Summary:
uncorrected energy	-7.02	eV/atom
E_form (uncorrected)	-0.56	eV per atom

Cell lengths 4.235, 4.235, 10.503 Å; angles 90.00, 90.00, 90.00 degrees
Space group P-4m2 (No. 115)
Unique sites:
Pu 0.000 0.500 0.244 x2
Al 0.000 0.000 0.500 x1
Al 0.000 0.500 0.866 x2
Al 0.500 0.500 0.500 x1
Si 0.500 0.500 0.000 x1
Pd 0.000 0.000 0.000 x1
Pd 0.000 0.500 0.632 x2

=====

[20]
PuAlZn2Pd4 | GGA-PBE | relaxed

Summary:
E_form	-4.51	eV/f.u.
uncorrected energy	-5.74	eV/atom

Cell lengths 4.3611, 4.3611, 24.7185 Å; angles 90.00, 90.00, 120.00 degrees
Space group R-3m (No. 166, hexagonal axes)
Unique sites:
Pu 0.0000 0.0000 0.0000 x3
Al 0.0000 0.0000 0.5000 x3
Zn 0.0000 0.0000 0.2421 x6
Pd 0.0000 0.0000 0.1318 x6
Pd 0.0000 0.0000 0.3989 x6